Record 1
Entry from Alexandria: a relaxed PaSi2PdO8 crystal (GGA-PBE).

formation energy without anion corrections: -2.236 eV/atom

Lattice parameters (Å, degrees): 5.7575 5.7575 5.7575 108.06 108.06 112.33
Closest atoms and distances in Å follow each position.
Positions (direct):
Si 0.7500 0.2500 0.5000  4 O 1.64
Si 0.5000 0.5000 0.0000  4 O 1.66
Pd 0.2500 0.7500 0.5000  4 O 2.22
O 0.3230 0.5029 0.1799  1 Si 1.66
O 0.9101 0.5984 0.6883  1 Si 1.64
O 0.4971 0.6770 0.8201  1 Si 1.66
O 0.3230 0.1432 0.8201  1 Si 1.66
O 0.4016 0.0899 0.3117  1 Si 1.64
O 0.7782 0.0899 0.6883  1 Si 1.64
O 0.8568 0.6770 0.1799  1 Si 1.66
O 0.9101 0.2218 0.3117  1 Si 1.64
Pa 0.0000 0.0000 0.0000  8 O 2.19-2.40

---

Record 2
Entry from Alexandria: a relaxed Re2Au crystal (GGA-PBE).

relative energy among the computed polymorphs: 0.142 eV/atom
calculated formation energy: 0.362 eV/atom

Lattice parameters (Å, degrees): 4.8763 4.8763 4.8763 146.80 131.63 59.92
Closest atoms and distances in Å follow each position.
Positions (direct):
Re 0.3254 0.3254 0.0000  7 Re 2.75-2.95, 5 Au 2.75-2.85
Re 0.6746 0.6746 0.0000  7 Re 2.75-2.95, 5 Au 2.75-2.85
Au 0.0000 0.0000 0.0000  10 Re 2.75-2.85, 2 Au 2.79

---

Record 3
Entry from Alexandria: a relaxed YMg3Cu2 crystal (GGA-PBE).

calculated formation energy: 0.372 eV/atom

Lattice parameters (Å, degrees): 5.5139 5.5149 10.4628 90.00 90.00 119.99
Closest atoms and distances in Å follow each position.
Positions (direct):
Y 0.0000 0.0000 0.5000  6 Mg 3.09, 6 Cu 3.19
Y 0.0000 0.0000 0.0000  6 Mg 3.09, 6 Cu 3.19
Mg 0.1714 0.8284 0.2500  4 Mg 2.68-2.84, 2 Cu 2.82
Mg 0.3430 0.1716 0.7500  4 Mg 2.68-2.84, 2 Cu 2.82
Mg 0.8286 0.1716 0.7500  4 Mg 2.68-2.84, 2 Cu 2.82
Mg 0.8286 0.6572 0.7500  4 Mg 2.68-2.84, 2 Cu 2.82
Mg 0.6570 0.8284 0.2500  4 Mg 2.68-2.84, 2 Cu 2.82
Mg 0.1714 0.3428 0.2500  4 Mg 2.68-2.84, 2 Cu 2.82
Cu 0.6669 0.3337 0.9759  3 Mg 2.82
Cu 0.3331 0.6663 0.0241  3 Mg 2.82
Cu 0.6669 0.3337 0.5241  3 Mg 2.82
Cu 0.3331 0.6663 0.4759  3 Mg 2.82

---

Record 4
Entry from Alexandria: a relaxed LiTlCu2 crystal (GGA-PBE).

calculated formation energy: 0.238 eV/atom

Lattice parameters (Å, degrees): 3.7668 3.7668 9.8808 79.01 79.01 90.00
Closest atoms and distances in Å follow each position.
Positions (direct):
Cu 0.3750 0.3861 0.7500  4 Cu 2.61-2.72, 2 Li 2.71, 2 Tl 2.74
Cu 0.1361 0.6250 0.2500  4 Cu 2.61-2.72, 2 Li 2.71, 2 Tl 2.74
Cu 0.8750 0.8639 0.7500  4 Cu 2.61-2.72, 2 Li 2.71, 2 Tl 2.74
Cu 0.6139 0.1250 0.2500  4 Cu 2.61-2.72, 2 Li 2.71, 2 Tl 2.74
Li 0.5000 0.5000 0.0000  4 Tl 2.66, 4 Cu 2.71
Li 0.2500 0.7500 0.5000  4 Tl 2.66, 4 Cu 2.71
Tl 0.7500 0.2500 0.5000  4 Li 2.66, 4 Cu 2.74
Tl 0.0000 0.0000 0.0000  4 Li 2.66, 4 Cu 2.74

---

Computed calculated total energy, in the same sequence as the records: -0.564 -0.664 -0.211 -0.212 Ry/atom.
Computed mass density, in the same sequence as the records: 5.91 20.11 3.48 8.32 Mg/m³.